(1)
Be3Ni2Au: relaxed, PBE-GGA.

The volume comes out at 62.23 Å³/cell. Its total magnetization is 0.00 μB per formula unit. The value obtained for the formation energy is -0.308 eV/atom.

a b c (Å): 2.733 2.733 8.333
angles (deg): 90.00 90.00 90.00
Space group P4/mmm (No. 123)
One atom of each set of equivalent atoms:
Be  0.000  0.000  0.000 x1
Be  0.000  0.000  0.294 x2
Ni  0.500  0.500  0.154 x2
Au  0.500  0.500  0.500 x1



(2)
Be3NiAu: relaxed, PBE-GGA.

The volume comes out at 76.66 Å³/cell. For the relative energy among the computed polymorphs, the calculation gives 444 meV per atom. Its total magnetization is 0.00 μB per formula unit. The value obtained for the formation energy is 0.803 eV/atom.

a b c (Å): 4.248 4.248 4.248
angles (deg): 90.00 90.00 90.00
Space group Pm-3m (No. 221)
One atom of each set of equivalent atoms:
Be  0.000  0.000  0.500 x3
Ni  0.500  0.500  0.500 x1
Au  0.000  0.000  0.000 x1



(3)
Be6NiAu: relaxed, PBE-GGA.

The volume comes out at 78.56 Å³/cell. Its total magnetization is 0.00 μB per formula unit. The value obtained for the formation energy is -0.055 eV/atom.

a b c (Å): 4.283 4.283 4.283
angles (deg): 90.00 90.00 90.00
Space group Pm-3 (No. 200)
One atom of each set of equivalent atoms:
Be  0.000  0.260  0.500 x6
Ni  0.500  0.500  0.500 x1
Au  0.000  0.000  0.000 x1



(4)
BeNiAu2: relaxed, PBE-GGA.

The volume comes out at 112.98 Å³/cell. Its total magnetization is 0.00 μB per formula unit. The value obtained for the formation energy is 0.033 eV/atom.

a b c (Å): 3.778 3.778 7.916
angles (deg): 90.00 90.00 90.00
Space group I-4m2 (No. 119)
One atom of each set of equivalent atoms:
Be  0.000  0.000  0.000 x2
Ni  0.000  0.500  0.750 x2
Au  0.000  0.000  0.500 x2
Au  0.000  0.500  0.250 x2



(5)
BeNiAu: relaxed, PBE-GGA.

The volume comes out at 159.05 Å³/cell. For the relative energy among the computed polymorphs, the calculation gives 185 meV per atom. Its total magnetization is 0.00 μB per formula unit. The value obtained for the formation energy is 0.014 eV/atom.

a b c (Å): 6.737 2.691 8.774
angles (deg): 90.00 90.24 90.00
Space group C2/m (No. 12)
One atom of each set of equivalent atoms:
Be  0.147  0.000  0.199 x4
Ni  0.143  0.000  0.924 x4
Au  0.138  0.000  0.628 x4



(6)
Be2NiAu: relaxed, PBE-GGA.

The volume comes out at 191.76 Å³/cell. Its total magnetization is 0.00 μB per formula unit. The value obtained for the formation energy is 0.113 eV/atom.

a b c (Å): 6.108 6.108 5.140
angles (deg): 90.00 90.00 90.00
Space group I-42d (No. 122)
One atom of each set of equivalent atoms:
Be  0.227  0.250  0.125 x8
Ni  0.000  0.000  0.000 x4
Au  0.000  0.000  0.500 x4



(7)
BeNiAu2: relaxed, PBE-GGA.

The volume comes out at 54.80 Å³/cell. Its total magnetization is 0.00 μB per formula unit. The value obtained for the formation energy is -0.108 eV/atom.

a b c (Å): 2.846 2.846 6.766
angles (deg): 90.00 90.00 90.00
Space group P4mm (No. 99)
One atom of each set of equivalent atoms:
Be  0.000  0.000  0.000 x1
Ni  0.500  0.500  0.165 x1
Au  0.000  0.000  0.435 x1
Au  0.500  0.500  0.769 x1



(8)
BeNiAu: relaxed, PBE-GGA.

The volume comes out at 156.51 Å³/cell. For the relative energy among the computed polymorphs, the calculation gives 65 meV per atom. Its total magnetization is 0.00 μB per formula unit. The value obtained for the formation energy is -0.105 eV/atom.

a b c (Å): 5.389 5.389 5.389
angles (deg): 90.00 90.00 90.00
Space group F-43m (No. 216)
One atom of each set of equivalent atoms:
Be  0.000  0.000  0.000 x4
Ni  0.250  0.250  0.250 x4
Au  0.250  0.250  0.750 x4



(9)
Be2NiAu: relaxed, PBE-GGA.

The volume comes out at 44.23 Å³/cell. Its total magnetization is 0.00 μB per formula unit. The value obtained for the formation energy is -0.226 eV/atom.

a b c (Å): 3.839 3.839 3.001
angles (deg): 90.00 90.00 90.00
Space group P4/mmm (No. 123)
One atom of each set of equivalent atoms:
Be  0.000  0.500  0.000 x2
Ni  0.000  0.000  0.500 x1
Au  0.500  0.500  0.500 x1



(10)
Be2Ni2Au: relaxed, PBE-GGA.

The volume comes out at 112.39 Å³/cell. For the relative energy among the computed polymorphs, the calculation gives 98 meV per atom. Its total magnetization is 0.00 μB per formula unit. The value obtained for the formation energy is -0.136 eV/atom.

a b c (Å): 6.606 6.606 2.575
angles (deg): 90.00 90.00 90.00
Space group P4/mbm (No. 127)
One atom of each set of equivalent atoms:
Be  0.164  0.336  0.000 x4
Ni  0.128  0.628  0.500 x4
Au  0.000  0.000  0.500 x2



(11)
BeNiAu2: relaxed, PBE-GGA.

The volume comes out at 170.41 Å³/cell. Its total magnetization is 0.00 μB per formula unit. The value obtained for the formation energy is 0.105 eV/atom.

a b c (Å): 2.8599 2.8599 24.0581
angles (deg): 90.00 90.00 120.00
Space group R-3m (No. 166, hexagonal axes)
One atom of each set of equivalent atoms:
Be  0.0000  0.0000  0.0000 x3
Ni  0.0000  0.0000  0.5000 x3
Au  0.0000  0.0000  0.2565 x6



(12)
Be2NiAu: relaxed, PBE-GGA.

The volume comes out at 44.88 Å³/cell. Its total magnetization is 0.00 μB per formula unit. The value obtained for the formation energy is -0.147 eV/atom.

a b c (Å): 2.842 2.842 5.556
angles (deg): 90.00 90.00 90.00
Space group P4mm (No. 99)
One atom of each set of equivalent atoms:
Be  0.000  0.000  0.000 x1
Be  0.500  0.500  0.219 x1
Ni  0.000  0.000  0.399 x1
Au  0.500  0.500  0.745 x1